Material: Nd4TlN
Method: DFT, PBE
State: optimized geometry

Properties
Uncorrected formation energy (eV per atom): -0.537
Electronic total energy (eV for the cell shown): -65.965

```
data_Nd4TlN
_chemical_formula_sum 'Nd8 Tl2 N2'
_space_group_name_H-M_alt 'P -1'
_space_group_IT_number 2
_cell_length_a 5.930
_cell_length_b 7.409
_cell_length_c 8.590
_cell_angle_alpha 106.79
_cell_angle_beta 110.13
_cell_angle_gamma 90.03
loop_
_space_group_symop_operation_xyz
'x,y,z'
'-x,-y,-z'
loop_
_atom_site_label
_atom_site_fract_x
_atom_site_fract_y
_atom_site_fract_z
Nd1 0.077 0.423 0.223
Nd2 0.146 0.923 0.223
Nd3 0.291 0.805 0.618
Nd4 0.327 0.305 0.618
Tl1 0.464 0.250 0.000
N1 0.000 0.500 0.500
N2 0.500 0.000 0.500
```



Material: Sm2Dy6Y
Method: DFT, PBE
State: optimized geometry

Properties
Formation energy from the elements (meV/atom): 112
Electronic total energy (eV for the cell shown): -170.019
Energy above the lowest structure with this stoichiometry (meV/atom): 4.6

```
data_Sm2Dy6Y
_chemical_formula_sum 'Sm8 Dy24 Y4'
_space_group_name_H-M_alt 'C 1 2/c 1'
_space_group_IT_number 15
_cell_length_a 10.614
_cell_length_b 17.722
_cell_length_c 6.172
_cell_angle_alpha 90.00
_cell_angle_beta 93.61
_cell_angle_gamma 90.00
loop_
_space_group_symop_operation_xyz
'x,y,z'
'-x,-y,-z'
'-x,y,-z+1/2'
'x,-y,z+1/2'
'x+1/2,y+1/2,z'
'-x+1/2,-y+1/2,-z'
'-x+1/2,y+1/2,-z+1/2'
'x+1/2,-y+1/2,z+1/2'
loop_
_atom_site_label
_atom_site_fract_x
_atom_site_fract_y
_atom_site_fract_z
Sm1 0.248 0.090 0.014
Dy1 0.086 0.088 0.506
Dy2 0.087 0.424 0.491
Dy3 0.165 0.258 0.260
Y1 0.000 0.261 0.750
```



Material: KInSi2Tc
Method: DFT, PBE
State: optimized geometry

Properties
Uncorrected formation energy (eV per atom): 0.088
Electronic total energy (eV for the cell shown): -24.610

```
data_KInSi2Tc
_chemical_formula_sum 'K1 In1 Si2 Tc1'
_space_group_name_H-M_alt 'P 4/m m m'
_space_group_IT_number 123
_space_group_name_Hall '-P 4 2'
_cell_length_a 4.739
_cell_length_b 4.739
_cell_length_c 5.240
_cell_angle_alpha 90.00
_cell_angle_beta 90.00
_cell_angle_gamma 90.00
loop_
_atom_site_label
_atom_site_fract_x
_atom_site_fract_y
_atom_site_fract_z
K1 0.000 0.000 0.000
In1 0.500 0.500 0.000
Si1 0.000 0.500 0.500
Tc1 0.500 0.500 0.500
```



Material: Na3NbV2S6
Method: DFT, PBE
State: optimized geometry

Properties
Uncorrected formation energy (eV per atom): -1.035
Electronic total energy (eV for the cell shown): -138.895

```
data_Na3NbV2S6
_chemical_formula_sum 'Na6 Nb2 V4 S12'
_space_group_name_H-M_alt 'C 1 2/m 1'
_space_group_IT_number 12
_cell_length_a 5.882
_cell_length_b 10.536
_cell_length_c 7.137
_cell_angle_alpha 90.00
_cell_angle_beta 106.28
_cell_angle_gamma 90.00
loop_
_space_group_symop_operation_xyz
'x,y,z'
'-x,-y,-z'
'-x,y,-z'
'x,-y,z'
'x+1/2,y+1/2,z'
'-x+1/2,-y+1/2,-z'
'-x+1/2,y+1/2,-z'
'x+1/2,-y+1/2,z'
loop_
_atom_site_label
_atom_site_fract_x
_atom_site_fract_y
_atom_site_fract_z
Na1 0.000 0.000 0.000
Na2 0.000 0.329 0.000
Nb1 0.000 0.500 0.500
V1 0.000 0.134 0.500
S1 0.238 0.000 0.728
S2 0.242 0.326 0.701
```